1.
! PmNbCo GGA-PBE optimized geometry; values from VASP
! - calculated formation energy (eV per atom) = 1.406
! - E above lowest polymorph (meV/atom) = 944
! - SG = F-43m (216)
&SYSTEM
  ibrav = 0, nat = 12, ntyp = 3
/
ATOMIC_SPECIES
Pm 145.00 Pm.upf
Nb 92.91 Nb.upf
Co 58.93 Co.upf
CELL_PARAMETERS angstrom
6.3283 0.0000 0.0000
0.0000 6.3283 0.0000
0.0000 0.0000 6.3283
ATOMIC_POSITIONS crystal
Pm 0.0000 0.0000 0.0000
Pm 0.0000 0.5000 0.5000
Pm 0.5000 0.0000 0.5000
Pm 0.5000 0.5000 0.0000
Nb 0.2500 0.2500 0.2500
Nb 0.2500 0.7500 0.7500
Nb 0.7500 0.2500 0.7500
Nb 0.7500 0.7500 0.2500
Co 0.2500 0.2500 0.7500
Co 0.2500 0.7500 0.2500
Co 0.7500 0.2500 0.2500
Co 0.7500 0.7500 0.7500



2.
! GdMgZn GGA-PBE optimized geometry; values from VASP
! - SG = P3m1 (156)
! - total DFT energy (no corrections) (eV/cell) = -21.747
&SYSTEM
  ibrav = 0, nat = 9, ntyp = 3
/
ATOMIC_SPECIES
Gd 157.25 Gd.upf
Mg 24.30 Mg.upf
Zn 65.41 Zn.upf
CELL_PARAMETERS angstrom
5.0971 0.0000 0.0000
-2.5486 4.4142 0.0000
0.0000 0.0000 9.3929
ATOMIC_POSITIONS crystal
Gd 0.0000 0.0000 0.0000
Gd 0.3333 0.6667 0.1148
Gd 0.6667 0.3333 0.2554
Mg 0.0000 0.0000 0.3859
Mg 0.3333 0.6667 0.7543
Mg 0.6667 0.3333 0.8786
Zn 0.0000 0.0000 0.6844
Zn 0.3333 0.6667 0.4325
Zn 0.6667 0.3333 0.5754



3.
! BeW GGA-PBE optimized geometry; values from VASP
! - E above lowest polymorph (meV/atom) = 0
! - SG = P-6m2 (187)
&SYSTEM
  ibrav = 0, nat = 2, ntyp = 2
/
ATOMIC_SPECIES
Be 9.01 Be.upf
W 183.84 W.upf
CELL_PARAMETERS angstrom
2.7356 0.0000 0.0000
-1.3678 2.3691 0.0000
0.0000 0.0000 4.1144
ATOMIC_POSITIONS crystal
Be 0.0000 0.0000 0.0000
W 0.6667 0.3333 0.5000



4.
! TbYCo2Si4 GGA-PBE optimized geometry; values from VASP
! - SG = Amm2 (38)
! - total DFT energy (no corrections) (eV/cell) = -106.613
&SYSTEM
  ibrav = 0, nat = 16, ntyp = 4
/
ATOMIC_SPECIES
Tb 158.93 Tb.upf
Y 88.91 Y.upf
Co 58.93 Co.upf
Si 28.09 Si.upf
CELL_PARAMETERS angstrom
3.9705 0.0000 0.0000
0.0000 4.0226 0.0000
0.0000 0.0000 16.3264
ATOMIC_POSITIONS crystal
Tb 0.0000 0.0000 0.0000
Tb 0.0000 0.5000 0.5000
Y 0.5000 0.0000 0.7847
Y 0.5000 0.5000 0.2847
Co 0.0000 0.0000 0.2137
Co 0.0000 0.5000 0.7137
Co 0.5000 0.0000 0.5709
Co 0.5000 0.5000 0.0709
Si 0.0000 0.0000 0.3498
Si 0.0000 0.0000 0.6425
Si 0.0000 0.5000 0.1425
Si 0.0000 0.5000 0.8498
Si 0.5000 0.0000 0.1422
Si 0.5000 0.0000 0.4349
Si 0.5000 0.5000 0.6422
Si 0.5000 0.5000 0.9349



5.
! SrSmAgS3 GGA-PBE optimized geometry; values from VASP
! - SG = C2/m (12)
! - total DFT energy (no corrections) (eV/cell) = -62.427
&SYSTEM
  ibrav = 0, nat = 12, ntyp = 4
/
ATOMIC_SPECIES
Sr 87.62 Sr.upf
Sm 150.36 Sm.upf
Ag 107.87 Ag.upf
S 32.06 S.upf
CELL_PARAMETERS angstrom
8.7999 -2.0120 0.0000
8.7999 2.0120 0.0000
-1.9798 0.0000 8.1742
ATOMIC_POSITIONS crystal
Sr 0.1320 0.1320 0.0725
Sr 0.8680 0.8680 0.9275
Sm 0.1644 0.1644 0.5896
Sm 0.8356 0.8356 0.4104
Ag 0.4763 0.4763 0.2873
Ag 0.5237 0.5237 0.7127
S 0.0000 0.0000 0.5000
S 0.3195 0.3195 0.1723
S 0.3284 0.3284 0.6420
S 0.5000 0.5000 0.0000
S 0.6716 0.6716 0.3580
S 0.6805 0.6805 0.8277



6.
! CdSbNO GGA-PBE optimized geometry; values from VASP
! - E above lowest polymorph (meV/atom) = 45
! - SG = Pmc2_1 (26)
&SYSTEM
  ibrav = 0, nat = 8, ntyp = 4
/
ATOMIC_SPECIES
Cd 112.41 Cd.upf
Sb 121.76 Sb.upf
N 14.01 N.upf
O 16.00 O.upf
CELL_PARAMETERS angstrom
3.9888 0.0000 0.0000
0.0000 5.5948 0.0000
0.0000 0.0000 5.7506
ATOMIC_POSITIONS crystal
Cd 0.0000 0.2181 0.0000
Cd 0.0000 0.7819 0.5000
Sb 0.5000 0.2688 0.4698
Sb 0.5000 0.7312 0.9698
N 0.5000 0.3868 0.1093
N 0.5000 0.6132 0.6093
O 0.0000 0.1947 0.6075
O 0.0000 0.8053 0.1075



7.
! Li2CdO2 GGA-PBE optimized geometry; values from VASP
! - E above lowest polymorph (meV/atom) = 0
! - SG = P-3m1 (164)
&SYSTEM
  ibrav = 0, nat = 5, ntyp = 3
/
ATOMIC_SPECIES
Li 6.94 Li.upf
Cd 112.41 Cd.upf
O 16.00 O.upf
CELL_PARAMETERS angstrom
3.2767 0.0000 0.0000
-1.6384 2.8377 0.0000
0.0000 0.0000 5.4293
ATOMIC_POSITIONS crystal
Li 0.3333 0.6667 0.1274
Li 0.6667 0.3333 0.8726
Cd 0.0000 0.0000 0.5000
O 0.3333 0.6667 0.7642
O 0.6667 0.3333 0.2358



8.
! Al8Co7 GGA-PBE optimized geometry; values from VASP
! - E above lowest polymorph (meV/atom) = 97
! - SG = P4_2/mnm (136)
&SYSTEM
  ibrav = 0, nat = 30, ntyp = 2
/
ATOMIC_SPECIES
Al 26.98 Al.upf
Co 58.93 Co.upf
CELL_PARAMETERS angstrom
8.7966 0.0000 0.0000
0.0000 8.7966 0.0000
0.0000 0.0000 4.8970
ATOMIC_POSITIONS crystal
Al 0.0638 0.2779 0.0000
Al 0.1732 0.8268 0.2521
Al 0.1732 0.8268 0.7479
Al 0.2221 0.5638 0.5000
Al 0.2779 0.0638 0.0000
Al 0.3268 0.3268 0.2479
Al 0.3268 0.3268 0.7521
Al 0.4362 0.7779 0.5000
Al 0.5638 0.2221 0.5000
Al 0.6732 0.6732 0.2479
Al 0.6732 0.6732 0.7521
Al 0.7221 0.9362 0.0000
Al 0.7779 0.4362 0.5000
Al 0.8268 0.1732 0.2521
Al 0.8268 0.1732 0.7479
Al 0.9362 0.7221 0.0000
Co 0.0000 0.0000 0.0000
Co 0.0407 0.3552 0.5000
Co 0.0982 0.0982 0.5000
Co 0.1448 0.5407 0.0000
Co 0.3552 0.0407 0.5000
Co 0.4018 0.5982 0.0000
Co 0.4593 0.8552 0.0000
Co 0.5000 0.5000 0.5000
Co 0.5407 0.1448 0.0000
Co 0.5982 0.4018 0.0000
Co 0.6448 0.9593 0.5000
Co 0.8552 0.4593 0.0000
Co 0.9018 0.9018 0.5000
Co 0.9593 0.6448 0.5000



9.
! FeW3S GGA-PBE optimized geometry; values from VASP
! - SG = Pm-3m (221)
! - total DFT energy (no corrections) (eV/cell) = -45.850
&SYSTEM
  ibrav = 0, nat = 5, ntyp = 3
/
ATOMIC_SPECIES
Fe 55.84 Fe.upf
W 183.84 W.upf
S 32.06 S.upf
CELL_PARAMETERS angstrom
4.3565 0.0000 0.0000
0.0000 4.3565 0.0000
0.0000 0.0000 4.3565
ATOMIC_POSITIONS crystal
Fe 0.0000 0.0000 0.0000
W 0.0000 0.5000 0.5000
W 0.5000 0.0000 0.5000
W 0.5000 0.5000 0.0000
S 0.5000 0.5000 0.5000



10.
! AcZn GGA-PBE optimized geometry; values from VASP
! - calculated formation energy (eV per atom) = 0.496
! - SG = F-43m (216)
&SYSTEM
  ibrav = 0, nat = 8, ntyp = 2
/
ATOMIC_SPECIES
Ac 227.00 Ac.upf
Zn 65.41 Zn.upf
CELL_PARAMETERS angstrom
7.0369 0.0000 0.0000
0.0000 7.0369 0.0000
0.0000 0.0000 7.0369
ATOMIC_POSITIONS crystal
Ac 0.0000 0.0000 0.0000
Ac 0.0000 0.5000 0.5000
Ac 0.5000 0.0000 0.5000
Ac 0.5000 0.5000 0.0000
Zn 0.2500 0.2500 0.7500
Zn 0.2500 0.7500 0.2500
Zn 0.7500 0.2500 0.2500
Zn 0.7500 0.7500 0.7500



11.
! PrNdAg4Sn2 GGA-PBE optimized geometry; values from VASP
! - SG = P-6m2 (187)
! - total DFT energy (no corrections) (eV/cell) = -32.024
&SYSTEM
  ibrav = 0, nat = 8, ntyp = 4
/
ATOMIC_SPECIES
Pr 140.91 Pr.upf
Nd 144.24 Nd.upf
Ag 107.87 Ag.upf
Sn 118.71 Sn.upf
CELL_PARAMETERS angstrom
4.8002 0.0000 0.0000
-2.4001 4.1571 0.0000
0.0000 0.0000 9.4717
ATOMIC_POSITIONS crystal
Pr 0.0000 0.0000 0.0000
Nd 0.6667 0.3333 0.5000
Ag 0.0000 0.0000 0.3467
Ag 0.0000 0.0000 0.6533
Ag 0.6667 0.3333 0.1548
Ag 0.6667 0.3333 0.8452
Sn 0.3333 0.6667 0.2505
Sn 0.3333 0.6667 0.7495



12.
! LuMgInPd GGA-PBE optimized geometry; values from VASP
! - E above lowest polymorph (meV/atom) = 0
! - SG = F-43m (216)
&SYSTEM
  ibrav = 0, nat = 16, ntyp = 4
/
ATOMIC_SPECIES
Lu 174.97 Lu.upf
Mg 24.30 Mg.upf
In 114.82 In.upf
Pd 106.42 Pd.upf
CELL_PARAMETERS angstrom
6.9160 0.0000 0.0000
0.0000 6.9160 0.0000
0.0000 0.0000 6.9160
ATOMIC_POSITIONS crystal
Lu 0.0000 0.0000 0.0000
Lu 0.0000 0.5000 0.5000
Lu 0.5000 0.0000 0.5000
Lu 0.5000 0.5000 0.0000
Mg 0.0000 0.0000 0.5000
Mg 0.0000 0.5000 0.0000
Mg 0.5000 0.0000 0.0000
Mg 0.5000 0.5000 0.5000
In 0.2500 0.2500 0.7500
In 0.2500 0.7500 0.2500
In 0.7500 0.2500 0.2500
In 0.7500 0.7500 0.7500
Pd 0.2500 0.2500 0.2500
Pd 0.2500 0.7500 0.7500
Pd 0.7500 0.2500 0.7500
Pd 0.7500 0.7500 0.2500



13.
! NaZrReW GGA-PBE optimized geometry; values from VASP
! - E above lowest polymorph (meV/atom) = 0
! - SG = F-43m (216)
&SYSTEM
  ibrav = 0, nat = 16, ntyp = 4
/
ATOMIC_SPECIES
Na 22.99 Na.upf
Zr 91.22 Zr.upf
Re 186.21 Re.upf
W 183.84 W.upf
CELL_PARAMETERS angstrom
6.5481 0.0000 0.0000
0.0000 6.5481 0.0000
0.0000 0.0000 6.5481
ATOMIC_POSITIONS crystal
Na 0.0000 0.0000 0.0000
Na 0.0000 0.5000 0.5000
Na 0.5000 0.0000 0.5000
Na 0.5000 0.5000 0.0000
Zr 0.2500 0.2500 0.7500
Zr 0.2500 0.7500 0.2500
Zr 0.7500 0.2500 0.2500
Zr 0.7500 0.7500 0.7500
Re 0.0000 0.0000 0.5000
Re 0.0000 0.5000 0.0000
Re 0.5000 0.0000 0.0000
Re 0.5000 0.5000 0.5000
W 0.2500 0.2500 0.2500
W 0.2500 0.7500 0.7500
W 0.7500 0.2500 0.7500
W 0.7500 0.7500 0.2500